Entry from OQMD via LeMat-Bulk: a geometry-optimized Cu4Ag5 structure (PBE-GGA).

Computed properties:
mass density = 9.57 g/cm³
energy above the lowest structure with this stoichiometry = 0.039 eV per atom
formation enthalpy at 0 K = 0.077 eV per atom

Lattice parameters (Å, degrees): 13.484 13.484 13.484 167.82 164.56 19.71
Element x y z (fractional)
Ag 0.331 0.331 0.000
Ag 0.458 0.458 0.000
Ag 0.659 0.659 0.000
Ag 0.767 0.767 0.000
Ag 0.895 0.895 0.000
Cu 0.012 0.012 0.000
Cu 0.105 0.105 0.000
Cu 0.213 0.213 0.000
Cu 0.559 0.559 0.000